Compound: CsTh2Te6Au2
Source: Alexandria
Functional: PBE-GGA
Structure: relaxed

The structure in POSCAR format:
```
CsTh2Te6Au2
1.0
8.384 -0.184 0.197
4.007 7.561 -0.361
0.269 -4.758 7.450
Te Au Th Cs
6 2 2 1
direct
0.157 0.835 0.571
0.843 0.165 0.429
0.981 0.424 0.167
0.435 0.781 0.027
0.019 0.576 0.833
0.565 0.219 0.973
0.244 0.720 0.800
0.756 0.280 0.200
0.830 0.333 0.843
0.170 0.667 0.157
0.500 0.000 0.500
```

Calculated values
- Raw formation energy: -0.743 eV/atom
- Crystal system: triclinic

Compound: Cs3Th3Te8Au
Source: Alexandria
Functional: PBE-GGA
Structure: relaxed

The structure in POSCAR format:
```
Cs3Th3Te8Au
1.0
9.813 0.000 0.000
-4.907 7.561 0.222
0.000 -4.712 8.773
Te Th Au Cs
8 3 1 3
direct
0.197 0.393 0.663
0.743 0.062 0.291
0.267 0.534 0.302
0.319 0.062 0.291
0.681 0.938 0.709
0.257 0.938 0.709
0.803 0.607 0.337
0.733 0.466 0.698
0.500 0.500 0.500
0.500 0.000 0.500
0.000 0.500 0.500
0.000 0.000 0.500
0.000 0.500 0.000
0.000 0.000 0.000
0.500 0.500 0.000
```

Calculated values
- Raw formation energy: -1.047 eV/atom
- Crystal system: monoclinic

Compound: Cs2ThTe6Au2
Source: Alexandria
Functional: PBE-GGA
Structure: relaxed

The structure in POSCAR format:
```
Cs2ThTe6Au2
1.0
6.663 0.000 0.000
-3.331 7.801 -0.159
0.000 -4.744 9.348
Cs Te Th Au
2 6 1 2
direct
0.312 0.623 0.811
0.688 0.377 0.189
0.286 0.572 0.405
0.816 0.117 0.784
0.699 0.883 0.216
0.184 0.883 0.216
0.714 0.428 0.595
0.301 0.117 0.784
0.500 0.000 0.500
0.901 0.802 0.695
0.099 0.198 0.305
```

Calculated values
- Raw formation energy: -0.571 eV/atom
- Crystal system: monoclinic

Compound: Cs3Th2Te6Au
Source: Alexandria
Functional: PBE-GGA
Structure: relaxed

The structure in POSCAR format:
```
Cs3Th2Te6Au
1.0
8.437 -0.319 0.060
-4.493 7.149 0.060
-1.250 -2.165 8.689
Te Au Cs Th
6 1 3 2
direct
0.446 0.061 0.213
0.253 0.253 0.850
0.554 0.939 0.787
0.061 0.446 0.213
0.747 0.747 0.150
0.939 0.554 0.787
0.000 0.000 0.000
0.145 0.855 0.500
0.855 0.145 0.500
0.500 0.500 0.500
0.330 0.670 0.000
0.670 0.330 0.000
```

Calculated values
- Raw formation energy: -1.021 eV/atom
- Crystal system: monoclinic

Compound: Cs4Th3Te8Au
Source: Alexandria
Functional: PBE-GGA
Structure: relaxed

The structure in POSCAR format:
```
Cs4Th3Te8Au
1.0
-8.935 1.905 1.150
-2.065 -10.152 0.775
6.261 3.511 5.967
Au Th Cs Te
1 3 4 8
direct
0.000 0.500 0.000
0.000 0.500 0.500
0.500 0.500 0.000
0.500 0.500 0.500
0.000 0.000 0.000
0.500 0.000 0.000
0.500 0.000 0.500
0.000 0.000 0.500
0.732 0.699 0.464
0.732 0.683 0.956
0.776 0.317 0.044
0.237 0.693 0.473
0.268 0.317 0.044
0.224 0.683 0.956
0.763 0.307 0.527
0.268 0.301 0.536
```

Calculated values
- Raw formation energy: -1.031 eV/atom
- Crystal system: monoclinic

Compound: Cs2ThTe4Au2
Source: Alexandria
Functional: PBE-GGA
Structure: relaxed

The structure in POSCAR format:
```
Cs2ThTe4Au2
1.0
4.663 0.000 0.000
0.000 8.525 -0.413
-2.331 -3.941 9.220
Te Cs Th Au
4 2 1 2
direct
0.495 0.738 0.991
0.180 0.213 0.360
0.820 0.787 0.640
0.505 0.262 0.009
0.853 0.338 0.707
0.147 0.662 0.293
0.000 0.000 0.000
0.626 0.038 0.252
0.374 0.962 0.748
```

Calculated values
- Raw formation energy: -0.920 eV/atom
- Crystal system: monoclinic

Compound: Cs2TiTe6Au2
Source: Alexandria
Functional: PBE-GGA
Structure: relaxed

The structure in POSCAR format:
```
Cs2TiTe6Au2
1.0
8.016 0.000 0.000
-4.008 6.939 -0.236
0.000 -4.362 7.860
Te Cs Au Ti
6 2 2 1
direct
0.727 0.022 0.748
0.295 0.022 0.748
0.273 0.978 0.252
0.273 0.547 0.252
0.705 0.978 0.252
0.727 0.453 0.748
0.259 0.519 0.778
0.741 0.481 0.222
0.098 0.196 0.295
0.902 0.804 0.705
0.500 0.000 0.500
```

Calculated values
- Raw formation energy: -0.449 eV/atom
- Crystal system: trigonal

Compound: CsUTe2Au
Source: Alexandria
Functional: PBE-GGA
Structure: relaxed

The structure in POSCAR format:
```
CsUTe2Au
1.0
6.051 0.000 0.000
0.000 9.677 0.323
0.000 -2.293 5.940
Te Au Cs U
4 2 2 2
direct
0.743 0.757 0.878
0.257 0.757 0.378
0.743 0.243 0.622
0.257 0.243 0.122
0.000 0.000 0.000
0.000 0.000 0.500
0.759 0.500 0.250
0.241 0.500 0.750
0.500 0.000 0.250
0.500 0.000 0.750
```

Calculated values
- Raw formation energy: -0.512 eV/atom
- Crystal system: orthorhombic

Compound: CsU3Te12Au4
Source: Alexandria
Functional: PBE-GGA
Structure: relaxed

The structure in POSCAR format:
```
CsU3Te12Au4
1.0
9.989 -0.376 -0.522
-2.771 9.604 -0.522
-2.771 -3.543 8.942
U Te Au Cs
3 12 4 1
direct
0.000 0.567 0.433
0.433 0.000 0.567
0.567 0.433 0.000
0.903 0.500 0.097
0.500 0.097 0.903
0.665 0.500 0.335
0.749 0.056 0.646
0.944 0.251 0.354
0.500 0.335 0.665
0.251 0.354 0.944
0.097 0.903 0.500
0.646 0.749 0.056
0.335 0.665 0.500
0.354 0.944 0.251
0.056 0.646 0.749
0.500 0.500 0.500
0.070 0.500 0.930
0.930 0.070 0.500
0.500 0.930 0.070
0.000 0.000 0.000
```

Calculated values
- Raw formation energy: -0.221 eV/atom
- Crystal system: trigonal

Compound: Cs3UTe6Au2
Source: Alexandria
Functional: PBE-GGA
Structure: relaxed

The structure in POSCAR format:
```
Cs3UTe6Au2
1.0
-3.518 -7.355 2.397
2.795 0.977 -7.966
9.096 -3.449 2.769
Au Te Cs U
2 6 3 1
direct
0.333 0.667 0.322
0.667 0.333 0.678
0.306 0.153 0.689
0.153 0.306 0.311
0.694 0.847 0.311
0.153 0.847 0.311
0.847 0.153 0.689
0.847 0.694 0.689
0.333 0.667 0.670
0.667 0.333 0.330
0.000 0.000 0.000
0.000 0.000 0.500
```

Calculated values
- Raw formation energy: -0.581 eV/atom
- Crystal system: trigonal

Compound: Cs2YTe4Au2
Source: Alexandria
Functional: PBE-GGA
Structure: relaxed

The structure in POSCAR format:
```
Cs2YTe4Au2
1.0
-2.162 2.969 2.546
-7.069 -5.648 0.582
6.072 -3.298 5.081
Y Cs Au Te
1 2 2 4
direct
0.000 0.000 0.000
0.136 0.576 0.272
0.864 0.424 0.728
0.658 0.973 0.316
0.342 0.027 0.684
0.496 0.240 0.992
0.196 0.164 0.393
0.804 0.836 0.607
0.504 0.760 0.008
```

Calculated values
- Raw formation energy: -0.839 eV/atom
- Crystal system: monoclinic

Compound: CsYTe3Au
Source: Alexandria
Functional: PBE-GGA
Structure: relaxed

The structure in POSCAR format:
```
CsYTe3Au
1.0
-1.586 -4.757 2.257
8.408 -0.959 -2.814
2.157 3.394 8.669
Cs Y Te Au
2 2 6 2
direct
0.653 0.306 0.025
0.347 0.694 0.975
0.360 0.721 0.473
0.640 0.279 0.527
0.867 0.734 0.297
0.190 0.379 0.318
0.810 0.621 0.682
0.503 0.007 0.289
0.497 0.993 0.711
0.133 0.266 0.703
0.973 0.946 0.681
0.027 0.054 0.319
```

Calculated values
- Raw formation energy: -0.861 eV/atom
- Crystal system: monoclinic